a | ## Sr3Sn4Hg2 (PBE)

Data for a relaxed structure of Sr3Sn4Hg2.

a b c (Å): 6.744 6.744 10.766
angles (deg): 120.28 120.28 42.27
Element x y z (fractional)
Sr 0.000 0.000 0.000
Sr 0.316 0.316 0.369
Sr 0.684 0.684 0.631
Sn 0.014 0.014 0.353
Sn 0.262 0.262 0.921
Sn 0.738 0.738 0.079
Sn 0.986 0.986 0.647
Hg 0.414 0.414 0.743
Hg 0.586 0.586 0.257

- Space group: C2/m (12)

---

b | ## Sr3Sn4Hg2 (PBE)

Data for a relaxed structure of Sr3Sn4Hg2.

a b c (Å): 6.658 6.658 9.521
angles (deg): 102.36 102.36 43.23
Element x y z (fractional)
Sr 0.000 0.000 0.000
Sr 0.365 0.365 0.311
Sr 0.635 0.635 0.689
Sn 0.065 0.065 0.387
Sn 0.299 0.299 0.946
Sn 0.701 0.701 0.054
Sn 0.935 0.935 0.613
Hg 0.315 0.315 0.643
Hg 0.685 0.685 0.357

- Space group: C2/m (12)

---

Q: Which of them is the least stable? A: a.

---

a | ## Tb2SnHg3 (PBE)

Data for a relaxed structure of Tb2SnHg3.

a b c (Å): 11.269 11.269 11.269
angles (deg): 162.12 157.89 28.58
Element x y z (fractional)
Tb 0.000 0.000 0.000
Tb 0.725 0.225 0.500
Sn 0.572 0.572 0.000
Hg 0.157 0.657 0.500
Hg 0.306 0.806 0.500
Hg 0.417 0.417 0.000

- Space group: Imm2 (44)

---

b | ## Tb2SnHg3 (PBE)

Data for a relaxed structure of Tb2SnHg3.

a b c (Å): 9.876 9.248 6.091
angles (deg): 77.14 65.90 36.96
Element x y z (fractional)
Tb 0.245 0.755 0.755
Tb 0.250 0.250 0.250
Tb 0.750 0.750 0.750
Tb 0.755 0.245 0.245
Sn 0.335 0.335 0.665
Sn 0.665 0.665 0.335
Hg 0.166 0.166 0.834
Hg 0.166 0.668 0.332
Hg 0.332 0.834 0.166
Hg 0.668 0.166 0.834
Hg 0.834 0.332 0.668
Hg 0.834 0.834 0.166

- Space group: Fmmm (69)

---

Q: Which of them is the least stable? A: a.

---

a | ## Tb2Sn4Hg (PBE)

Data for a relaxed structure of Tb2Sn4Hg.

a b c (Å): 6.481 6.481 4.584
angles (deg): 90.00 90.00 90.84
Element x y z (fractional)
Tb 0.247 0.753 0.000
Tb 0.753 0.247 0.000
Sn 0.000 0.500 0.500
Sn 0.263 0.263 0.000
Sn 0.500 0.000 0.500
Sn 0.737 0.737 0.000
Hg 0.000 0.000 0.500

- Space group: Cmmm (65)

---

b | ## Tb2Sn4Hg (PBE)

Data for a relaxed structure of Tb2Sn4Hg.

a b c (Å): 4.486 4.486 9.486
angles (deg): 90.00 90.00 90.00
Element x y z (fractional)
Tb 0.000 0.500 0.236
Tb 0.500 0.000 0.764
Sn 0.000 0.000 0.500
Sn 0.000 0.500 0.802
Sn 0.500 0.000 0.198
Sn 0.500 0.500 0.500
Hg 0.500 0.500 0.000

- Space group: P-4m2 (115)

---

Q: Which of them is the least stable? A: b.

---

a | ## TbYSnHg (PBE)

Data for a relaxed structure of TbYSnHg.

a b c (Å): 5.299 5.299 5.299
angles (deg): 60.00 60.00 60.00
Element x y z (fractional)
Tb 0.000 0.000 0.000
Y 0.500 0.500 0.500
Sn 0.750 0.750 0.750
Hg 0.250 0.250 0.250

- Space group: F-43m (216)

---

b | ## TbYSnHg (PBE)

Data for a relaxed structure of TbYSnHg.

a b c (Å): 3.801 3.801 7.332
angles (deg): 90.00 90.00 90.00
Element x y z (fractional)
Tb 0.000 0.000 0.000
Y 0.000 0.000 0.506
Sn 0.500 0.500 0.254
Hg 0.500 0.500 0.752

- Space group: P4mm (99)

---

Q: Which of them is the least stable? A: b.

---

a | ## SnHgTe3 (PBE)

Data for a relaxed structure of SnHgTe3.

a b c (Å): 11.192 4.480 12.830
angles (deg): 90.00 90.00 90.00
Element x y z (fractional)
Sn 0.170 0.250 0.033
Sn 0.330 0.750 0.533
Sn 0.670 0.250 0.467
Sn 0.830 0.750 0.967
Hg 0.028 0.250 0.637
Hg 0.472 0.750 0.137
Hg 0.528 0.250 0.863
Hg 0.972 0.750 0.363
Te 0.033 0.750 0.131
Te 0.153 0.250 0.422
Te 0.188 0.750 0.738
Te 0.312 0.250 0.238
Te 0.347 0.750 0.922
Te 0.467 0.250 0.631
Te 0.533 0.750 0.369
Te 0.653 0.250 0.078
Te 0.688 0.750 0.762
Te 0.812 0.250 0.262
Te 0.847 0.750 0.578
Te 0.967 0.250 0.869

- Space group: Pnma (62)

---

b | ## SnHgTe3 (PBE)

Data for a relaxed structure of SnHgTe3.

a b c (Å): 5.748 5.748 5.748
angles (deg): 90.00 90.00 90.00
Element x y z (fractional)
Sn 0.000 0.000 0.000
Hg 0.500 0.500 0.500
Te 0.000 0.000 0.500
Te 0.000 0.500 0.000
Te 0.500 0.000 0.000

- Space group: Pm-3m (221)

---

Q: Which of them is the least stable? A: b.

---

a | ## SnHg3Te4 (PBE)

Data for a relaxed structure of SnHg3Te4.

a b c (Å): 16.535 16.535 16.535
angles (deg): 16.34 16.34 16.34
Element x y z (fractional)
Sn 0.000 0.000 0.000
Hg 0.244 0.244 0.244
Hg 0.499 0.499 0.499
Hg 0.754 0.754 0.754
Te 0.068 0.068 0.068
Te 0.304 0.304 0.304
Te 0.559 0.559 0.559
Te 0.814 0.814 0.814

- Space group: R3m (160)

---

b | ## SnHg3Te4 (PBE)

Data for a relaxed structure of SnHg3Te4.

a b c (Å): 9.437 8.173 8.105
angles (deg): 90.00 90.00 90.00
Element x y z (fractional)
Sn 0.000 0.167 0.000
Sn 0.500 0.833 0.500
Hg 0.000 0.822 0.510
Hg 0.247 0.664 0.012
Hg 0.253 0.336 0.512
Hg 0.500 0.178 0.010
Hg 0.747 0.336 0.512
Hg 0.753 0.664 0.012
Te 0.000 0.162 0.601
Te 0.000 0.822 0.150
Te 0.243 0.661 0.652
Te 0.257 0.339 0.152
Te 0.500 0.178 0.650
Te 0.500 0.838 0.101
Te 0.743 0.339 0.152
Te 0.757 0.661 0.652

- Space group: Pmn2_1 (31)

---

Q: Which of them is the least stable? A: b.

---

a | ## SnHg2Te2 (PBE)

Data for a relaxed structure of SnHg2Te2.

a b c (Å): 8.979 8.979 8.979
angles (deg): 152.36 152.36 39.49
Element x y z (fractional)
Sn 0.000 0.000 0.000
Hg 0.250 0.750 0.500
Hg 0.750 0.250 0.500
Te 0.413 0.413 0.000
Te 0.587 0.587 0.000

- Space group: I4/mmm (139)

---

b | ## SnHg2Te2 (PBE)

Data for a relaxed structure of SnHg2Te2.

a b c (Å): 8.440 8.440 4.139
angles (deg): 90.00 90.00 90.00
Element x y z (fractional)
Sn 0.000 0.000 0.000
Sn 0.500 0.500 0.000
Hg 0.140 0.360 0.500
Hg 0.360 0.860 0.500
Hg 0.640 0.140 0.500
Hg 0.860 0.640 0.500
Te 0.169 0.669 0.000
Te 0.331 0.169 0.000
Te 0.669 0.831 0.000
Te 0.831 0.331 0.000

- Space group: P4/mbm (127)

---

c | ## SnHg2Te2 (PBE)

Data for a relaxed structure of SnHg2Te2.

a b c (Å): 6.122 6.122 6.122
angles (deg): 123.07 123.07 84.76
Element x y z (fractional)
Sn 0.000 0.000 0.000
Hg 0.347 0.347 0.000
Hg 0.653 0.653 0.000
Te 0.250 0.750 0.500
Te 0.750 0.250 0.500

- Space group: I4/mmm (139)

---

Q: Which of them is the least stable? A: c.

---

a | ## SnHgTe (PBE)

Data for a relaxed structure of SnHgTe.

a b c (Å): 5.260 5.260 5.260
angles (deg): 60.00 60.00 60.00
Element x y z (fractional)
Sn 0.000 0.000 0.000
Hg 0.250 0.250 0.250
Te 0.750 0.750 0.750

- Space group: F-43m (216)

---

b | ## SnHgTe (PBE)

Data for a relaxed structure of SnHgTe.

a b c (Å): 6.656 6.656 7.901
angles (deg): 104.19 104.19 38.09
Element x y z (fractional)
Sn 0.130 0.130 0.096
Sn 0.870 0.870 0.904
Hg 0.369 0.369 0.224
Hg 0.631 0.631 0.776
Te 0.387 0.387 0.663
Te 0.613 0.613 0.337

- Space group: C2/m (12)

---

Q: Which of them is the least stable? A: a.